Computed, not measured: a relaxed structure of LiCaTbSi at the PBE level of DFT.

As for the formation energy (no corrections): -0.29 eV/atom.

a = 7.1513 Å, b = 7.1513 Å, c = 7.1513 Å
α = 90.00°, β = 90.00°, γ = 90.00°
With the nearest neighbours (Å) after each atom.
Space group F-43m (No. 216)
Symmetry-distinct sites (fractional):
Li 0.0000 0.0000 0.0000 (multiplicity 4)  4 Tb 3.10, 4 Ca 3.10
Ca 0.2500 0.2500 0.2500 (multiplicity 4)  4 Li 3.10, 4 Si 3.10
Tb 0.2500 0.2500 0.7500 (multiplicity 4)  4 Li 3.10, 4 Si 3.10
Si 0.0000 0.0000 0.5000 (multiplicity 4)  4 Tb 3.10, 4 Ca 3.10

Computed, not measured: a relaxed structure of HoSi2TcRh at the PBE level of DFT.

As for the formation energy (no corrections): -0.90 eV/atom.

a = 4.1940 Å, b = 4.1940 Å, c = 9.5892 Å
α = 90.00°, β = 90.00°, γ = 90.00°
With the nearest neighbours (Å) after each atom.
Space group I-4m2 (No. 119)
Symmetry-distinct sites (fractional):
Ho 0.0000 0.0000 0.0000 (multiplicity 2)  4 Tc 3.19, 4 Rh 3.19, 10 Si 3.21-3.56
Si 0.0000 0.0000 0.3712 (multiplicity 4)  2 Tc 2.40, 2 Rh 2.40, 1 Si 2.47
Tc 0.0000 0.5000 0.7500 (multiplicity 2)  4 Si 2.40
Rh 0.0000 0.5000 0.2500 (multiplicity 2)  4 Si 2.40

Computed, not measured: a relaxed structure of AlCr2 at the PBE level of DFT.

The formation energy comes out at -0.137 eV per atom.

a = 2.9581 Å, b = 2.9581 Å, c = 8.6373 Å
α = 90.00°, β = 90.00°, γ = 90.00°
With the nearest neighbours (Å) after each atom.
Space group I4/mmm (No. 139)
Symmetry-distinct sites (fractional):
Al 0.0000 0.0000 0.0000 (multiplicity 2)  10 Cr 2.63-2.73
Cr 0.0000 0.0000 0.3157 (multiplicity 4)  4 Cr 2.38, 4 Al 2.63

Asked for magnetic moment across the records above, the calculation gives 0.00; 0.00; 0.00 μB per formula unit in order.